Sc2NiF | GGA+U | relaxed

Summary:
polymorph energy (0 for the lowest one) = 0.5239 eV per atom
VASP energy = -4.81 eV/atom
calculated volume = 62.8 Å³/f.u.

abc: 4.4616 4.4616 4.4616
angles: 60.00 60.00 60.00
Positions (direct):
Sc 0.2500 0.2500 0.2500
Sc 0.7500 0.7500 0.7500
Ni 0.0000 0.0000 0.0000
F 0.5000 0.5000 0.5000